No. 1
Density functional theory data (PBE-GGA) for a relaxed Cu2IrSe crystal.

Structure (POSCAR):
```
Cu2IrSe
1.0
-2.1834 1.8143 -3.5757
-4.1434 1.3425 -1.3692
0.2095 4.4164 1.1304
Se Ir Cu
1 1 2
direct
0.2326 0.2326 0.2834
0.5019 0.5019 0.4783
0.0086 0.0086 0.9674
0.7569 0.7569 0.7708
```

symmetry: Cm
raw formation energy: 0.24 eV per atom
E: -19.6 eV for the cell shown

=====

No. 2
Density functional theory data (PBE-GGA) for a relaxed Tm6BiTe3As2 crystal.

Structure (POSCAR):
```
Tm6BiTe3As2
1.0
-3.9944 -1.3250 0.2240
1.5166 -3.2586 7.7697
-0.7958 9.3766 1.6288
Te As Tm Bi
3 2 6 1
direct
0.8386 0.1659 0.6771
0.5000 0.5000 0.0000
0.1614 0.8341 0.3229
0.8313 0.6619 0.6626
0.1687 0.3381 0.3374
0.9858 0.7420 0.9717
0.6714 0.1170 0.3428
0.3286 0.8830 0.6572
0.0142 0.2580 0.0283
0.3240 0.4323 0.6480
0.6760 0.5677 0.3520
0.5000 0.0000 0.0000
```

symmetry: C2/m
raw formation energy: -1.28 eV per atom
E: -64.7 eV for the cell shown

=====

No. 3
Density functional theory data (PBE-GGA) for a relaxed ZnAgAu2 crystal.

Structure (POSCAR):
```
ZnAgAu2
1.0
6.6655 0.0214 0.0655
-2.6338 4.0172 0.0895
1.3980 0.8506 2.6010
Zn Au Ag
1 2 1
direct
0.0000 0.5000 0.5000
0.0000 0.0000 0.0000
0.5000 0.0000 0.5000
0.5000 0.5000 0.0000
```

symmetry: C2/m
formation enthalpy at 0 K: -113 meV/atom
E: -11.1 eV for the cell shown

=====

No. 4
Density functional theory data (PBE-GGA) for a relaxed ScNb2B6 crystal.

Structure (POSCAR):
```
ScNb2B6
1.0
-1.3213 -0.3111 -2.8837
1.8282 -5.0999 -2.0488
-4.7525 -3.2217 0.7638
Sc B Nb
1 6 2
direct
0.5000 0.5000 0.5000
0.1971 0.0371 0.5687
0.0000 0.8581 0.1419
0.8029 0.4313 0.9629
0.8029 0.9629 0.4313
0.0000 0.1419 0.8581
0.1971 0.5687 0.0371
0.3311 0.1689 0.1689
0.6689 0.8311 0.8311
```

symmetry: Immm
formation enthalpy at 0 K: -441 meV/atom
E: -70.5 eV for the cell shown

=====

No. 5
Density functional theory data (PBE-GGA) for a relaxed SN crystal.

Structure (POSCAR):
```
SN
1.0
3.6233 -0.0559 0.0437
0.1202 4.0967 -0.0201
0.7179 0.5664 7.6516
S N
2 2
direct
0.7849 0.8893 0.4615
0.2151 0.1107 0.5385
0.4306 0.5872 0.0453
0.5694 0.4128 0.9547
```

symmetry: P-1
raw formation energy: 0.16 eV per atom
E: -24.2 eV for the cell shown

=====

No. 6
Density functional theory data (PBE-GGA) for a relaxed Cs2DyPa3O12 crystal.

Structure (POSCAR):
```
Cs2DyPa3O12
1.0
-1.6262 7.8227 0.8771
-7.4809 2.1356 2.0210
-1.2883 2.8179 7.4168
O Pa Cs Dy
12 3 2 1
direct
0.9417 0.3123 0.3123
0.3271 0.9334 0.9334
0.6877 0.6877 0.0583
0.6877 0.0583 0.6877
0.0666 0.0666 0.6729
0.6729 0.0666 0.0666
0.3123 0.9417 0.3123
0.9334 0.3271 0.9334
0.0583 0.6877 0.6877
0.3123 0.3123 0.9417
0.9334 0.9334 0.3271
0.0666 0.6729 0.0666
0.0000 0.0000 0.5000
0.5000 0.0000 0.0000
0.0000 0.5000 0.0000
0.3644 0.3644 0.3644
0.6356 0.6356 0.6356
0.0000 0.0000 0.0000
```

symmetry: R-3m
raw formation energy: -2.72 eV per atom
E: -143.3 eV for the cell shown

=====

No. 7
Density functional theory data (PBE-GGA) for a relaxed CuPt crystal.

Structure (POSCAR):
```
CuPt
1.0
-0.8300 -3.6099 -0.9812
6.4227 -4.1919 2.5074
-2.4456 -0.2369 2.9404
Pt Cu
4 4
direct
0.2500 0.5000 0.7500
0.7500 0.5000 0.2500
0.6166 0.7669 0.8834
0.8834 0.2331 0.6166
0.5000 0.0000 0.5000
0.1184 0.7633 0.3816
0.0000 0.0000 0.0000
0.3816 0.2367 0.1184
```

symmetry: I4/mmm
formation enthalpy at 0 K: -109 meV/atom
E: -41.4 eV for the cell shown

=====

No. 8
Density functional theory data (PBE-GGA) for a relaxed Ho4Er3In2 crystal.

Structure (POSCAR):
```
Ho4Er3In2
1.0
5.2440 0.0003 -0.0017
2.6201 6.1956 0.4961
2.6190 3.3984 8.3328
In Ho Er
2 4 3
direct
0.2120 0.8930 0.6830
0.7880 0.1070 0.3170
0.6687 0.6294 0.0336
0.3313 0.3706 0.9664
0.1210 0.4161 0.3422
0.8790 0.5839 0.6578
0.5755 0.1951 0.6540
0.4245 0.8049 0.3460
0.0000 0.0000 0.0000
```

symmetry: C2/m
formation enthalpy at 0 K: -194 meV/atom
E: -39.2 eV for the cell shown

=====

No. 9
Density functional theory data (PBE-GGA) for a relaxed TbCe2Au6 crystal.

Structure (POSCAR):
```
TbCe2Au6
1.0
3.4276 -0.0002 0.0008
0.0012 7.1759 4.1242
-0.0002 0.0125 8.2766
Au Ce Tb
6 2 1
direct
0.5000 0.3323 0.6677
0.4995 0.6678 0.0000
0.5005 0.3322 0.0000
0.5005 0.0000 0.3322
0.5000 0.6677 0.3323
0.4995 0.0000 0.6678
0.0000 0.3333 0.3333
0.0000 0.6667 0.6667
0.0000 0.0000 0.0000
```

symmetry: P6/mmm
formation enthalpy at 0 K: -703 meV/atom
E: -42.5 eV for the cell shown

=====

No. 10
Density functional theory data (PBE-GGA) for a relaxed PrAl8Cr4 crystal.

Structure (POSCAR):
```
PrAl8Cr4
1.0
1.2571 -6.6199 1.2949
-2.0939 5.4834 3.5536
-5.6463 -0.8533 -3.8042
Cr Al Pr
4 8 1
direct
0.0000 0.5000 0.0000
0.0000 0.0000 0.5000
0.5000 0.0000 0.0000
0.5000 0.5000 0.5000
0.0000 0.3413 0.3413
0.3413 0.0000 0.3413
0.0000 0.6587 0.6587
0.5000 0.7267 0.2267
0.5000 0.2733 0.7733
0.7267 0.5000 0.2267
0.6587 0.0000 0.6587
0.2733 0.5000 0.7733
0.0000 0.0000 0.0000
```

symmetry: I4/mmm
formation enthalpy at 0 K: -195 meV/atom
E: -75.8 eV for the cell shown

=====

No. 11
Density functional theory data (PBE-GGA) for a relaxed Tm2SnS crystal.

Structure (POSCAR):
```
Tm2SnS
1.0
3.8000 0.0000 0.0000
1.9000 3.2909 0.0000
1.9000 1.0970 7.5872
Sn Tm S
1 2 1
direct
0.5000 0.5000 0.5000
0.7351 0.7351 0.7946
0.2649 0.2649 0.2054
0.0000 0.0000 0.0000
```

symmetry: R-3m
raw formation energy: -1.25 eV per atom
E: -22.1 eV for the cell shown

=====

No. 12
Density functional theory data (PBE-GGA) for a relaxed TiCd2Ir crystal.

Structure (POSCAR):
```
TiCd2Ir
1.0
7.8405 0.0000 0.0000
0.0000 7.8405 0.0000
3.9202 3.9202 2.6129
Cd Ti Ir
4 2 2
direct
0.0981 0.6250 0.2500
0.8750 0.9019 0.7500
0.6519 0.1250 0.2500
0.3750 0.3481 0.7500
0.2500 0.7500 0.5000
0.5000 0.5000 0.0000
0.7500 0.2500 0.5000
0.0000 0.0000 0.0000
```

symmetry: I-42d
formation enthalpy at 0 K: 406 meV/atom
E: -33.9 eV for the cell shown

=====

Question: What is the E in the seventh record?
Answer: -41.4 eV for the cell shown